Computed, not measured: a relaxed CeGd2Sn crystal at the GGA-PBE level of DFT.

Cell lengths 5.440, 5.440, 5.440 Å; angles 60.00, 60.00, 60.00 degrees
Positions (direct):
Gd1 0.750 0.750 0.750
Gd2 0.250 0.250 0.250
Sn1 0.500 0.500 0.500
Ce1 0.000 0.000 0.000

Properties
DFT formation energy, eV per atom: -0.233
N(E_F), states/eV/cell: 8.97
Size of the total moment, μB per cell: 18.10
E above lowest polymorph, meV/atom: 174
Space group: Fm-3m (225)